LiCo2Pt: relaxed, PBE.

a b c (Å): 2.849 2.849 6.026
angles (deg): 90.00 90.00 90.00
Each line ends with the local moment (μB).
Fractional positions:
Co (0.000, 0.000, 0.030)  1.90
Co (0.500, 0.500, 0.240)  1.76
Li (0.000, 0.000, 0.488)  -0.03
Pt (0.500, 0.500, 0.742)  0.21

Results
N(E_F), states/eV/f.u.: 2.62
E_form, eV/atom: -0.065
SG: P4mm
Total magnetic moment, μB/f.u.: 3.77

=====

LiCo2Pt: relaxed, PBE.

a b c (Å): 4.335 4.335 2.707
angles (deg): 90.00 90.00 90.00
Each line ends with the local moment (μB).
Fractional positions:
Co (0.000, 0.000, 0.000)  1.64
Co (0.500, 0.500, 0.000)  1.64
Li (0.500, 0.000, 0.500)  -0.05
Pt (0.000, 0.500, 0.500)  0.32

Results
N(E_F), states/eV/f.u.: 4.66
E_form, eV/atom: 0.038
SG: P4/mmm
Total magnetic moment, μB/f.u.: 3.45

=====

LiCo2Pt: relaxed, PBE.

a b c (Å): 4.645 4.645 4.292
angles (deg): 80.76 80.76 32.89
Each line ends with the local moment (μB).
Fractional positions:
Co (0.994, 0.994, 0.999)  1.70
Co (0.506, 0.506, 0.501)  1.70
Li (0.750, 0.750, 0.750)  -0.03
Pt (0.250, 0.250, 0.250)  0.18

Results
N(E_F), states/eV/f.u.: 2.87
E_form, eV/atom: -0.089
SG: C2/m
Total magnetic moment, μB/f.u.: 3.44

=====

LiCo2Pt: relaxed, PBE.

a b c (Å): 3.422 3.422 9.245
angles (deg): 79.33 79.33 90.00
Each line ends with the local moment (μB).
Fractional positions:
Co (0.609, 0.125, 0.250)  1.83
Co (0.141, 0.625, 0.250)  1.83
Co (0.375, 0.391, 0.750)  1.84
Co (0.875, 0.859, 0.750)  1.83
Pt (0.000, 0.000, 0.000)  0.22
Pt (0.750, 0.250, 0.500)  0.22
Li (0.500, 0.500, 0.000)  -0.03
Li (0.250, 0.750, 0.500)  -0.03

Results
N(E_F), states/eV/f.u.: 3.69
E_form, eV/atom: 0.222
SG: I-42d
Total magnetic moment, μB/f.u.: 3.81

=====

LiCoPt6: relaxed, PBE.

a b c (Å): 3.895 4.769 7.259
angles (deg): 77.23 74.44 65.90
Each line ends with the local moment (μB).
Fractional positions:
Li (0.000, 0.000, 0.000)  -0.01
Co (0.000, 0.500, 0.500)  1.97
Pt (0.248, 0.878, 0.626)  0.21
Pt (0.499, 0.254, 0.749)  0.22
Pt (0.249, 0.377, 0.125)  0.17
Pt (0.501, 0.746, 0.251)  0.22
Pt (0.752, 0.122, 0.374)  0.21
Pt (0.751, 0.623, 0.875)  0.17

Results
N(E_F), states/eV/f.u.: 10.86
E_form, eV/atom: -0.195
SG: C2/m
Total magnetic moment, μB/f.u.: 3.07

=====

Li4CoPt: relaxed, PBE.

a b c (Å): 4.710 4.710 4.710
angles (deg): 60.00 60.00 60.00
Each line ends with the local moment (μB).
Fractional positions:
Li (0.874, 0.375, 0.375)  -0.04
Li (0.375, 0.375, 0.874)  -0.04
Li (0.375, 0.874, 0.375)  -0.04
Li (0.375, 0.375, 0.375)  -0.04
Co (0.000, 0.000, 0.000)  1.56
Pt (0.750, 0.750, 0.750)  0.10

Results
N(E_F), states/eV/f.u.: 7.85
E_form, eV/atom: 0.060
SG: F-43m
Total magnetic moment, μB/f.u.: 1.33

=====

LiCo2Pt: relaxed, PBE.

a b c (Å): 3.879 2.586 5.068
angles (deg): 75.36 90.00 90.00
Each line ends with the local moment (μB).
Fractional positions:
Co (0.000, 0.046, 0.032)  1.76
Co (0.500, 0.441, 0.235)  1.68
Li (0.000, 0.308, 0.514)  -0.03
Pt (0.500, 0.704, 0.719)  0.19

Results
N(E_F), states/eV/f.u.: 3.12
E_form, eV/atom: -0.057
SG: Pm
Total magnetic moment, μB/f.u.: 3.50

=====

LiCoPt2: relaxed, PBE.

a b c (Å): 4.983 4.983 4.559
angles (deg): 68.71 68.71 31.44
Each line ends with the local moment (μB).
Fractional positions:
Co (0.491, 0.491, 0.588)  1.81
Li (0.254, 0.254, 0.165)  -0.02
Pt (0.005, 0.005, 0.087)  0.19
Pt (0.750, 0.750, 0.660)  0.20

Results
N(E_F), states/eV/f.u.: 4.19
E_form, eV/atom: -0.286
SG: Cm
Total magnetic moment, μB/f.u.: 2.10

=====

Look up the E_form of the seventh one.
-0.057 eV/atom